Record 1
Computed, not measured: a relaxed structure of SmHo2Mg2 at the PBE level of DFT.

Unit cell a=8.136 b=8.136 c=10.951 alpha=90.00 beta=90.00 gamma=155.65
Sites, in units of the cell vectors:
1 Sm 0.075 0.925 0.500
2 Sm 0.925 0.075 0.000
3 Ho 0.230 0.770 0.900
4 Ho 0.389 0.611 0.632
5 Ho 0.611 0.389 0.132
6 Ho 0.770 0.230 0.400
7 Mg 0.285 0.715 0.162
8 Mg 0.443 0.557 0.310
9 Mg 0.557 0.443 0.810
10 Mg 0.715 0.285 0.662

Summary:
* distance to the lowest polymorph of the same formula: 0.1789 eV/atom
* calculated formation energy: 54 kJ/mol of formula units

***

Record 2
Computed, not measured: a relaxed structure of InCu2PdS4 at the PBE level of DFT.

Unit cell a=6.733 b=6.733 c=6.733 alpha=132.60 beta=132.60 gamma=69.29
Sites, in units of the cell vectors:
1 In 0.000 0.000 0.000
2 Cu 0.250 0.750 0.500
3 Cu 0.750 0.250 0.500
4 Pd 0.500 0.500 0.000
5 S 0.124 0.124 0.526
6 S 0.401 0.876 0.000
7 S 0.599 0.599 0.474
8 S 0.876 0.401 0.000

Summary:
* uncorrected formation energy: -0.286 eV/atom

***

Across the entries above, total magnetic moment takes the values 0.00, 0.00 μB per atom, respectively.
Across the entries above, E_tot takes the values -3.300, -4.365 eV/atom, respectively.